--- w ---
SmHo3, PBEsol geometry, DFT meta-GGA SCAN; space-group type = No. 139; D(E_F) = 1.20 states/eV per atom; crystal system = tetragonal; magnetic moment = 0.003 μB per atom
1.0
-2.611 -1.655 3.816
-1.032 -4.107 -2.487
5.852 0.756 1.171
Ho Sm
3 1
Cartesian
1.499 -3.116 -0.326
0.710 -1.890 2.826
-1.821 -2.881 0.665
0.000 0.000 0.000

--- x ---
SmHo3, PBEsol geometry, DFT meta-GGA SCAN; space-group type = No. 194; D(E_F) = 1.59 states/eV per atom; crystal system = hexagonal; magnetic moment = 0.000 μB per atom
1.0
5.558 0.000 0.000
0.000 7.071 0.000
0.000 -3.535 6.123
Sm Ho
2 6
Cartesian
4.169 0.000 4.082
1.390 3.535 2.041
1.390 1.773 5.106
1.390 0.000 2.035
1.390 -1.773 5.106
4.169 1.763 1.018
4.169 3.535 4.088
4.169 5.308 1.018

Most stable to least stable, the ends of the list are x and w.

--- w ---
KInI2, PBEsol geometry, DFT meta-GGA SCAN; space-group type = No. 225; D(E_F) = 0.00 states/eV per atom; crystal system = cubic; magnetic moment = 0.000 μB per atom
1.0
5.864 0.000 0.000
2.932 5.078 0.000
2.932 1.693 4.788
I K In
2 1 1
Cartesian
2.932 1.693 1.197
8.796 5.078 3.591
0.000 0.000 0.000
5.864 3.386 2.394

--- x ---
KInI2, PBEsol geometry, DFT meta-GGA SCAN; space-group type = No. 122; D(E_F) = 0.00 states/eV per atom; crystal system = tetragonal; magnetic moment = 0.000 μB per atom
1.0
7.441 0.000 0.000
0.000 7.441 0.000
-3.720 -3.720 8.343
I K In
4 2 2
Cartesian
1.777 5.581 2.086
5.664 1.860 2.086
-1.860 -1.944 6.257
1.860 1.944 6.257
3.720 0.000 4.171
3.720 3.720 0.000
0.000 3.720 4.171
0.000 0.000 0.000

Most stable to least stable, the ends of the list are w and x.